The following is a PBE calculation of Ca4Np3NbN8 after structural relaxation, from Alexandria via LeMat-Bulk.

Lattice parameters (Å, degrees): 6.820 6.892 6.820 119.65 120.00 90.00
Site moments in Bohr magnetons follow the coordinates.
Fractional positions:
Ca: 0.000 0.000 0.000  0.03
Ca: 0.500 0.000 0.500  0.03
Ca: 0.000 0.000 0.500  0.03
Ca: 0.500 0.000 0.000  0.06
Np: 0.500 0.500 0.500  2.93
Np: 0.500 0.500 0.000  2.93
Np: 0.000 0.500 0.500  2.93
Nb: 0.000 0.500 0.000  0.45
N: 0.747 0.713 0.980  -0.09
N: 0.767 0.287 0.534  -0.09
N: 0.233 0.713 0.466  -0.09
N: 0.767 0.287 0.020  -0.09
N: 0.233 0.713 0.980  -0.09
N: 0.740 0.719 0.479  -0.13
N: 0.253 0.287 0.020  -0.09
N: 0.260 0.281 0.521  -0.13

Output
Spin magnetization ... 9.27 μB per cell
ΔE_f (raw) ... -1.151 eV per atom



The following is a PBE calculation of Ho2HfSc3 after structural relaxation, from Alexandria via LeMat-Bulk.

Lattice parameters (Å, degrees): 8.430 6.177 6.177 93.95 80.86 80.86
Fractional positions:
Hf: 0.250 0.086 0.914
Hf: 0.750 0.914 0.086
Sc: 0.250 0.414 0.586
Sc: 0.505 0.323 0.163
Sc: 0.995 0.837 0.677
Sc: 0.005 0.163 0.323
Sc: 0.750 0.586 0.414
Sc: 0.495 0.677 0.837
Ho: 0.123 0.627 0.118
Ho: 0.877 0.373 0.882
Ho: 0.377 0.882 0.373
Ho: 0.623 0.118 0.627

Output
Spin magnetization ... 0.01 μB per cell
E_form ... 0.098 eV/atom



The following is a PBE calculation of Tl2ReHg after structural relaxation, from Alexandria via LeMat-Bulk.

Lattice parameters (Å, degrees): 2.965 2.965 10.762 90.00 90.00 90.00
Fractional positions:
Hg: 0.000 0.000 0.536
Re: 0.500 0.500 0.732
Tl: 0.000 0.000 0.954
Tl: 0.500 0.500 0.277

Output
Distance to the lowest polymorph of the same formula ... 94 meV per atom
Spin magnetization ... 0.00 μB per cell
E_form ... 0.784 eV/atom



The following is a PBE calculation of SrTa2GaH after structural relaxation, from Alexandria via LeMat-Bulk.

Lattice parameters (Å, degrees): 5.507 3.281 5.507 90.00 90.00 90.00
Fractional positions:
Ta: 0.500 0.000 0.000
Ta: 0.000 0.000 0.500
H: 0.000 0.500 0.000
Sr: 0.500 0.500 0.500
Ga: 0.000 0.000 0.000

Output
Spin magnetization ... 0.00 μB per cell



The following is a PBE calculation of CePmPrSe3 after structural relaxation, from Alexandria via LeMat-Bulk.

Lattice parameters (Å, degrees): 4.079 7.404 10.960 102.62 90.00 90.00
Site moments in Bohr magnetons follow the coordinates.
Fractional positions:
Se: 0.250 0.940 0.837  0.00
Se: 0.250 0.706 0.507  -0.01
Se: 0.750 0.060 0.163  0.00
Se: 0.750 0.545 0.171  0.00
Se: 0.250 0.455 0.829  0.00
Se: 0.750 0.294 0.493  -0.01
Pr: 0.750 0.236 0.944  0.04
Pr: 0.250 0.764 0.056  0.04
Ce: 0.250 0.119 0.624  1.04
Ce: 0.750 0.881 0.376  1.04
Pm: 0.250 0.342 0.300  0.00
Pm: 0.750 0.658 0.700  0.00

Output
Spin magnetization ... 3.06 μB per cell
ΔE_f (raw) ... -1.716 eV per atom



The following is a PBE calculation of Tb8Tl3S3N after structural relaxation, from Alexandria via LeMat-Bulk.

Lattice parameters (Å, degrees): 7.664 7.672 8.938 115.47 90.00 120.02
Fractional positions:
S: 0.000 0.500 0.500
S: 0.500 0.000 0.500
S: 0.500 0.500 0.500
Tb: 0.213 0.974 0.686
Tb: 0.787 0.574 0.314
Tb: 0.734 0.468 0.702
Tb: 0.266 0.532 0.298
Tb: 0.761 0.974 0.686
Tb: 0.239 0.026 0.314
Tb: 0.787 0.026 0.314
Tb: 0.213 0.426 0.686
N: 0.000 0.000 0.500
Tl: 0.000 0.000 0.000
Tl: 0.500 0.500 0.000
Tl: 0.000 0.500 0.000

Output
Spin magnetization ... 0.00 μB per cell
ΔE_f (raw) ... -1.104 eV per atom



Number 1: E_tot -141.9 eV per cell. Number 2: E_tot -75.0 eV per cell. Number 3: E_tot -14.3 eV per cell. Number 4: E_tot -24.9 eV per cell. Number 5: E_tot -72.4 eV per cell. Number 6: E_tot -81.4 eV per cell.